VASP calculation (GGA-PBE) on a relaxed MgTe2SeN crystal.

The structure in extended XYZ format:
```
5
Lattice="5.763 0.000 0.000 0.000 5.763 0.000 0.000 0.000 3.690" Properties=species:S:1:pos:R:3 pbc="T T T"
Mg 0.000 0.000 0.000
Te 0.000 2.882 1.845
Te 2.882 0.000 1.845
Se 2.882 2.882 1.845
N 2.882 2.882 0.000
```

Computed properties:
- Volume: 24.51 Å³/atom
- Spin magnetization: 0.00 μB/atom
- Energy: -3.289 eV/atom
- Offset from the most stable computed form: 0.000 eV/atom
- Crystal system: tetragonal
- Energy relative to the elements, uncorrected: 0.65 eV/atom